Entry 1:
VASP calculation (meta-GGA SCAN) on a PBEsol-optimized structure of CaLa2Y2.

## Properties
Electronic total energy in eV per atom: -30.234
Calculated formation energy in eV per formula unit: 0.39
Total magnetic moment in μB per formula unit: 0.00

a b c (Å): 3.609 9.759 9.759
angles (deg): 90.00 90.00 90.00
Fractional coordinates of all 10 atoms:
Y (0.000, 0.121, 0.379)
Y (0.000, 0.379, 0.879)
Y (0.000, 0.621, 0.121)
Y (0.000, 0.879, 0.621)
La (0.500, 0.323, 0.177)
La (0.500, 0.177, 0.677)
La (0.500, 0.677, 0.823)
La (0.500, 0.823, 0.323)
Ca (0.000, 0.000, 0.000)
Ca (0.000, 0.500, 0.500)

Entry 2:
VASP calculation (meta-GGA SCAN) on a PBEsol-optimized structure of CaLa2Y.

## Properties
Electronic total energy in eV per atom: -30.866
Calculated formation energy in eV per formula unit: 0.25
Energy above the most stable polymorph in this dataset in eV per atom: 0.004
Total magnetic moment in μB per formula unit: 0.04

a b c (Å): 3.613 6.290 6.381
angles (deg): 99.08 90.00 106.69
Fractional coordinates of all 4 atoms:
Y (0.500, 0.000, 0.000)
Ca (0.000, 0.000, 0.500)
La (0.753, 0.507, 0.764)
La (0.247, 0.493, 0.236)

Q: Which of these has the highest electronic total energy?
A: CaLa2Y2